No. 1
This record from Alexandria via LeMat-Bulk describes a PBEsol-optimized structure of MgSc2In. The functional is SCAN.

Output
As for the formation energy: -0.39 eV per atom. As for the uncorrected energy: -1.2564 Ry/atom.

a b c (Å): 4.9680 4.9680 4.9680
angles (deg): 60.00 60.00 60.00
Sites, in units of the cell vectors:
Mg  0.0000  0.0000  0.0000
Sc  0.2500  0.2500  0.2500
Sc  0.7500  0.7500  0.7500
In  0.5000  0.5000  0.5000

=====

No. 2
This record from Alexandria via LeMat-Bulk describes a PBEsol-optimized structure of SrLaNi2. The functional is SCAN.

Output
As for the formation energy: 0.17 eV per atom. As for the uncorrected energy: -1.7829 Ry/atom.

a b c (Å): 3.4203 3.4203 7.9916
angles (deg): 90.00 90.00 90.00
Sites, in units of the cell vectors:
Sr  0.0000  0.0000  0.0000
La  0.5000  0.5000  0.4420
Ni  0.0000  0.0000  0.6456
Ni  0.5000  0.5000  0.7461

=====

No. 3
This record from Alexandria via LeMat-Bulk describes a PBEsol-optimized structure of Sc3CoRh. The functional is SCAN.

Output
As for the formation energy: 0.04 eV per atom. As for the uncorrected energy: -1.3759 Ry/atom.

a b c (Å): 4.8490 4.8490 4.8490
angles (deg): 90.00 90.00 90.00
Sites, in units of the cell vectors:
Sc  0.0000  0.0000  0.5000
Sc  0.0000  0.5000  0.0000
Sc  0.5000  0.0000  0.0000
Co  0.5000  0.5000  0.5000
Rh  0.0000  0.0000  0.0000

=====

No. 4
This record from Alexandria via LeMat-Bulk describes a PBEsol-optimized structure of In3Re. The functional is SCAN.

Output
As for the formation energy: 0.71 eV per atom. As for the uncorrected energy: -3.0945 Ry/atom.

a b c (Å): 5.1036 5.1036 3.0191
angles (deg): 90.00 90.00 90.00
Sites, in units of the cell vectors:
In  0.0000  0.0000  0.0000
In  0.0000  0.5000  0.5000
In  0.5000  0.0000  0.5000
Re  0.5000  0.5000  0.0000

=====

No. 5
This record from Alexandria via LeMat-Bulk describes a PBEsol-optimized structure of KCdS2Cl. The functional is SCAN.

Output
The calculation puts the formation energy from raw total energies at 517 meV/atom. As for the uncorrected energy: -0.9319 Ry/atom.

a b c (Å): 5.4915 5.4915 5.3565
angles (deg): 90.00 90.00 90.00
Sites, in units of the cell vectors:
K  0.0000  0.0000  0.0000
Cd  0.5000  0.5000  0.5000
S  0.0000  0.5000  0.0000
S  0.5000  0.0000  0.0000
Cl  0.0000  0.0000  0.5000

=====

No. 6
This record from Alexandria via LeMat-Bulk describes a PBEsol-optimized structure of CaTl2Fe. The functional is SCAN.

Output
As for the formation energy: 0.16 eV per atom. As for the uncorrected energy: -3.1578 Ry/atom.

a b c (Å): 5.6832 5.6832 5.6832
angles (deg): 135.15 135.15 65.29
Sites, in units of the cell vectors:
Ca  0.0000  0.0000  0.0000
Tl  0.2500  0.7500  0.5000
Tl  0.5000  0.5000  0.0000
Fe  0.7500  0.2500  0.5000

=====

No. 7
This record from Alexandria via LeMat-Bulk describes a PBEsol-optimized structure of NaPd3O4. The functional is SCAN.

Output
The calculation puts the formation energy from raw total energies at -946 meV/atom. As for the uncorrected energy: -1.2406 Ry/atom.

a b c (Å): 5.6422 5.6422 5.6422
angles (deg): 90.00 90.00 90.00
Sites, in units of the cell vectors:
Na  0.0000  0.0000  0.0000
Na  0.5000  0.5000  0.5000
Pd  0.0000  0.2500  0.5000
Pd  0.0000  0.7500  0.5000
Pd  0.2500  0.5000  0.0000
Pd  0.5000  0.0000  0.2500
Pd  0.5000  0.0000  0.7500
Pd  0.7500  0.5000  0.0000
O  0.2500  0.2500  0.2500
O  0.2500  0.2500  0.7500
O  0.2500  0.7500  0.2500
O  0.2500  0.7500  0.7500
O  0.7500  0.2500  0.2500
O  0.7500  0.2500  0.7500
O  0.7500  0.7500  0.2500
O  0.7500  0.7500  0.7500

=====

No. 8
This record from Alexandria via LeMat-Bulk describes a PBEsol-optimized structure of CaLa2Tl. The functional is SCAN.

Output
As for the formation energy: -0.20 eV per atom. As for the uncorrected energy: -3.1061 Ry/atom.

a b c (Å): 3.7666 5.4967 5.9223
angles (deg): 90.00 90.00 90.00
Sites, in units of the cell vectors:
Ca  0.0000  0.0000  0.0000
La  0.0000  0.5000  0.5000
La  0.5000  0.0000  0.5000
Tl  0.5000  0.5000  0.0000

=====

No. 9
This record from Alexandria via LeMat-Bulk describes a PBEsol-optimized structure of TeSe2I. The functional is SCAN.

Output
The calculation puts the formation energy from raw total energies at 520 meV/atom. As for the uncorrected energy: -2.0593 Ry/atom.

a b c (Å): 9.9168 9.9168 9.9168
angles (deg): 21.06 21.06 21.06
Sites, in units of the cell vectors:
Te  0.0000  0.0000  0.0000
Se  0.0892  0.0892  0.0892
Se  0.9108  0.9108  0.9108
I  0.5000  0.5000  0.5000

=====

No. 10
This record from Alexandria via LeMat-Bulk describes a PBEsol-optimized structure of TaInP2. The functional is SCAN.

Output
As for the formation energy: -0.02 eV per atom. As for the uncorrected energy: -2.2202 Ry/atom.

a b c (Å): 2.9296 2.9296 9.1758
angles (deg): 90.00 90.00 106.69
Sites, in units of the cell vectors:
Ta  0.0000  0.0000  0.0000
In  0.0000  0.0000  0.5000
P  0.5000  0.5000  0.1956
P  0.5000  0.5000  0.8044

=====

No. 11
This record from Alexandria via LeMat-Bulk describes a PBEsol-optimized structure of CsTl2PtBr. The functional is SCAN.

Output
The calculation puts the formation energy from raw total energies at 173 meV/atom. As for the uncorrected energy: -3.9882 Ry/atom.

a b c (Å): 5.9640 5.9640 5.0456
angles (deg): 90.00 90.00 90.00
Sites, in units of the cell vectors:
Cs  0.0000  0.0000  0.0000
Tl  0.0000  0.5000  0.5000
Tl  0.5000  0.0000  0.5000
Pt  0.5000  0.5000  0.0000
Br  0.5000  0.5000  0.5000

=====

No. 12
This record from Alexandria via LeMat-Bulk describes a PBEsol-optimized structure of LiNiSb2. The functional is SCAN.

Output
The calculation puts the formation energy from raw total energies at -58 meV/atom. As for the uncorrected energy: -1.7146 Ry/atom.

a b c (Å): 3.6933 4.3863 4.4293
angles (deg): 90.00 90.00 90.00
Sites, in units of the cell vectors:
Li  0.0000  0.0000  0.0000
Ni  0.0000  0.5000  0.5000
Sb  0.5000  0.0000  0.5000
Sb  0.5000  0.5000  0.0000

=====

No. 13
This record from Alexandria via LeMat-Bulk describes a PBEsol-optimized structure of BaCdOs3. The functional is SCAN.

Output
As for the formation energy: 3.75 eV per atom. As for the uncorrected energy: -3.9227 Ry/atom.

a b c (Å): 4.9789 4.9789 4.9789
angles (deg): 90.00 90.00 90.00
Sites, in units of the cell vectors:
Ba  0.0000  0.0000  0.0000
Cd  0.5000  0.5000  0.5000
Os  0.0000  0.0000  0.5000
Os  0.0000  0.5000  0.0000
Os  0.5000  0.0000  0.0000

=====

No. 14
This record from Alexandria via LeMat-Bulk describes a PBEsol-optimized structure of Zn2CrIr. The functional is SCAN.

Output
As for the formation energy: -0.13 eV per atom. As for the uncorrected energy: -2.1507 Ry/atom.

a b c (Å): 3.0942 3.0942 5.6959
angles (deg): 90.00 90.00 90.00
Sites, in units of the cell vectors:
Zn  0.0000  0.0000  0.2463
Zn  0.0000  0.0000  0.7537
Cr  0.5000  0.5000  0.5000
Ir  0.5000  0.5000  0.0000

=====

No. 15
This record from Alexandria via LeMat-Bulk describes a PBEsol-optimized structure of LiZn4In. The functional is SCAN.

Output
As for the formation energy: -0.10 eV per atom. As for the uncorrected energy: -1.1081 Ry/atom.

a b c (Å): 5.1541 5.1541 5.1541
angles (deg): 60.00 60.00 60.00
Sites, in units of the cell vectors:
Li  0.0000  0.0000  0.0000
Zn  0.3739  0.3739  0.3739
Zn  0.3739  0.3739  0.8782
Zn  0.3739  0.8782  0.3739
Zn  0.8782  0.3739  0.3739
In  0.7500  0.7500  0.7500

=====

No. 16
This record from Alexandria via LeMat-Bulk describes a PBEsol-optimized structure of TeP3. The functional is SCAN.

Output
The calculation puts the formation energy from raw total energies at 447 meV/atom. As for the uncorrected energy: -1.2248 Ry/atom.

a b c (Å): 4.5912 4.5912 4.5912
angles (deg): 109.47 109.47 109.47
Sites, in units of the cell vectors:
Te  0.0000  0.0000  0.0000
P  0.0000  0.5000  0.5000
P  0.5000  0.0000  0.5000
P  0.5000  0.5000  0.0000

=====

No. 17
This record from Alexandria via LeMat-Bulk describes a PBEsol-optimized structure of TaInCo2. The functional is SCAN.

Output
As for the formation energy: 0.35 eV per atom. As for the uncorrected energy: -2.4472 Ry/atom.

a b c (Å): 7.7429 7.7429 7.7429
angles (deg): 22.67 22.67 22.67
Sites, in units of the cell vectors:
Ta  0.0000  0.0000  0.0000
In  0.5000  0.5000  0.5000
Co  0.2570  0.2570  0.2570
Co  0.7430  0.7430  0.7430

=====

No. 18
This record from Alexandria via LeMat-Bulk describes a PBEsol-optimized structure of InAgIr2. The functional is SCAN.

Output
As for the formation energy: 0.32 eV per atom. As for the uncorrected energy: -3.7793 Ry/atom.

a b c (Å): 4.8483 4.8483 4.8483
angles (deg): 131.05 131.05 71.74
Sites, in units of the cell vectors:
In  0.0000  0.0000  0.0000
Ag  0.5000  0.5000  0.0000
Ir  0.2500  0.7500  0.5000
Ir  0.7500  0.2500  0.5000

=====

No. 19
This record from Alexandria via LeMat-Bulk describes a PBEsol-optimized structure of ScTlZn. The functional is SCAN.

Output
As for the formation energy: -0.26 eV per atom. As for the uncorrected energy: -2.4719 Ry/atom.

a b c (Å): 4.5565 4.5565 4.5565
angles (deg): 60.00 60.00 60.00
Sites, in units of the cell vectors:
Sc  0.0000  0.0000  0.0000
Tl  0.2500  0.2500  0.2500
Zn  0.5000  0.5000  0.5000

=====

No. 20
This record from Alexandria via LeMat-Bulk describes a PBEsol-optimized structure of Be12Co. The functional is SCAN.

Output
As for the formation energy: -0.01 eV per atom. As for the uncorrected energy: -0.3937 Ry/atom.

a b c (Å): 5.4325 5.4325 5.4325
angles (deg): 98.06 98.06 136.02
Sites, in units of the cell vectors:
Be  0.0000  0.0000  0.5000
Be  0.0000  0.2123  0.2123
Be  0.0000  0.5000  0.0000
Be  0.0000  0.7877  0.7877
Be  0.1550  0.5000  0.6550
Be  0.2123  0.0000  0.2123
Be  0.5000  0.0000  0.0000
Be  0.5000  0.1550  0.6550
Be  0.5000  0.5000  0.5000
Be  0.5000  0.8450  0.3450
Be  0.7877  0.0000  0.7877
Be  0.8450  0.5000  0.3450
Co  0.5000  0.5000  0.0000

=====

No. 21
This record from Alexandria via LeMat-Bulk describes a PBEsol-optimized structure of In2AuSe. The functional is SCAN.

Output
The calculation puts the formation energy from raw total energies at -380 meV/atom. As for the uncorrected energy: -2.8945 Ry/atom.

a b c (Å): 7.4540 7.4540 7.4540
angles (deg): 29.83 29.83 29.83
Sites, in units of the cell vectors:
In  0.2474  0.2474  0.2474
In  0.7526  0.7526  0.7526
Au  0.5000  0.5000  0.5000
Se  0.0000  0.0000  0.0000

=====

No. 22
This record from Alexandria via LeMat-Bulk describes a PBEsol-optimized structure of Bi3IrCl. The functional is SCAN.

Output
The calculation puts the formation energy from raw total energies at 1546 meV/atom. As for the uncorrected energy: -4.5141 Ry/atom.

a b c (Å): 5.2029 5.2029 5.2029
angles (deg): 90.00 90.00 90.00
Sites, in units of the cell vectors:
Bi  0.0000  0.0000  0.5000
Bi  0.0000  0.5000  0.0000
Bi  0.5000  0.0000  0.0000
Ir  0.5000  0.5000  0.5000
Cl  0.0000  0.0000  0.0000

=====

No. 23
This record from Alexandria via LeMat-Bulk describes a PBEsol-optimized structure of NiSbI2F. The functional is SCAN.

Output
The calculation puts the formation energy from raw total energies at 369 meV/atom. As for the uncorrected energy: -1.8906 Ry/atom.

a b c (Å): 5.6143 5.6143 4.1292
angles (deg): 90.00 90.00 90.00
Sites, in units of the cell vectors:
Ni  0.0000  0.0000  0.0000
Sb  0.5000  0.5000  0.0000
I  0.0000  0.5000  0.5000
I  0.5000  0.0000  0.5000
F  0.5000  0.5000  0.5000

=====

No. 24
This record from Alexandria via LeMat-Bulk describes a PBEsol-optimized structure of La2YBe. The functional is SCAN.

Output
As for the formation energy: 0.24 eV per atom. As for the uncorrected energy: -2.1579 Ry/atom.

a b c (Å): 5.8475 5.8475 5.8475
angles (deg): 133.34 133.34 68.12
Sites, in units of the cell vectors:
La  0.2500  0.7500  0.5000
La  0.7500  0.2500  0.5000
Y  0.0000  0.0000  0.0000
Be  0.5000  0.5000  0.0000

=====

No. 25
This record from Alexandria via LeMat-Bulk describes a PBEsol-optimized structure of Al3TeRu. The functional is SCAN.

Output
The calculation puts the formation energy from raw total energies at 31 meV/atom. As for the uncorrected energy: -1.3991 Ry/atom.

a b c (Å): 4.7353 4.7353 4.7353
angles (deg): 90.00 90.00 90.00
Sites, in units of the cell vectors:
Al  0.0000  0.0000  0.5000
Al  0.0000  0.5000  0.0000
Al  0.5000  0.0000  0.0000
Te  0.5000  0.5000  0.5000
Ru  0.0000  0.0000  0.0000

=====

No. 26
This record from Alexandria via LeMat-Bulk describes a PBEsol-optimized structure of LuAl2. The functional is SCAN.

Output
As for the formation energy: -0.51 eV per atom. As for the uncorrected energy: -1.7732 Ry/atom.

a b c (Å): 5.4367 5.4367 5.4367
angles (deg): 60.00 60.00 60.00
Sites, in units of the cell vectors:
Lu  0.1250  0.1250  0.1250
Lu  0.8750  0.8750  0.8750
Al  0.0000  0.5000  0.5000
Al  0.5000  0.0000  0.5000
Al  0.5000  0.5000  0.0000
Al  0.5000  0.5000  0.5000

=====

No. 27
This record from Alexandria via LeMat-Bulk describes a PBEsol-optimized structure of YSb2Ir. The functional is SCAN.

Output
The calculation puts the formation energy from raw total energies at -507 meV/atom. As for the uncorrected energy: -3.2246 Ry/atom.

a b c (Å): 6.5031 6.5031 6.5031
angles (deg): 147.08 143.28 50.13
Sites, in units of the cell vectors:
Y  0.0000  0.0000  0.0000
Sb  0.3117  0.8117  0.5000
Sb  0.5944  0.5944  0.0000
Ir  0.7562  0.2562  0.5000

=====

No. 28
This record from Alexandria via LeMat-Bulk describes a PBEsol-optimized structure of GaPbW3. The functional is SCAN.

Output
As for the formation energy: 3.40 eV per atom. As for the uncorrected energy: -4.1777 Ry/atom.

a b c (Å): 4.9347 4.9347 4.9347
angles (deg): 90.00 90.00 90.00
Sites, in units of the cell vectors:
Ga  0.0000  0.0000  0.0000
Pb  0.5000  0.5000  0.5000
W  0.0000  0.5000  0.5000
W  0.5000  0.0000  0.5000
W  0.5000  0.5000  0.0000

=====

No. 29
This record from Alexandria via LeMat-Bulk describes a PBEsol-optimized structure of LiTi3Br. The functional is SCAN.

Output
The calculation puts the formation energy from raw total energies at 579 meV/atom. As for the uncorrected energy: -0.9855 Ry/atom.

a b c (Å): 4.6670 4.6670 4.6670
angles (deg): 90.00 90.00 90.00
Sites, in units of the cell vectors:
Li  0.0000  0.0000  0.0000
Ti  0.0000  0.5000  0.5000
Ti  0.5000  0.0000  0.5000
Ti  0.5000  0.5000  0.0000
Br  0.5000  0.5000  0.5000

=====

no.,M_tot (μB per cell)
1,0.02
2,0.11
3,1.86
4,0.00
5,2.25
6,2.76
7,0.00
8,0.00
9,0.00
10,0.00
11,0.00
12,0.00
13,3.93
14,4.05
15,0.00
16,0.00
17,0.00
18,0.00
19,0.00
20,0.21
21,0.00
22,0.00
23,1.02
24,0.00
25,0.00
26,0.03
27,0.00
28,0.00
29,0.00